! TlPBr2 (PBE, optimized geometry); values from VASP
&SYSTEM
  ibrav = 0, nat = 8, ntyp = 3
/
ATOMIC_SPECIES
Tl 204.38 Tl.upf
P 30.97 P.upf
Br 79.90 Br.upf
CELL_PARAMETERS angstrom
-3.023 3.023 8.141
3.023 -3.023 8.141
3.023 3.023 -8.141
ATOMIC_POSITIONS crystal
Tl 0.000 0.000 0.000
Tl 0.750 0.250 0.500
P 0.250 0.750 0.500
P 0.500 0.500 0.000
Br 0.231 0.625 0.106
Br 0.375 0.481 0.606
Br 0.519 0.125 0.894
Br 0.875 0.769 0.394
! Energy above the most stable polymorph in this dataset: 186 meV/atom
! DOS(E_F): 0.0 states/eV/f.u.

---

! TlPBr2 (PBE, optimized geometry); values from VASP
&SYSTEM
  ibrav = 0, nat = 4, ntyp = 3
/
ATOMIC_SPECIES
Tl 204.38 Tl.upf
P 30.97 P.upf
Br 79.90 Br.upf
CELL_PARAMETERS angstrom
-2.127 2.127 7.128
2.127 -2.127 7.128
2.127 2.127 -7.128
ATOMIC_POSITIONS crystal
Tl 0.000 0.000 0.000
P 0.750 0.250 0.500
Br 0.250 0.750 0.500
Br 0.500 0.500 0.000
! Energy above the most stable polymorph in this dataset: 330 meV/atom
! DOS(E_F): 1.7 states/eV/f.u.

---

! TlPBr2 (PBE, optimized geometry); values from VASP
&SYSTEM
  ibrav = 0, nat = 4, ntyp = 3
/
ATOMIC_SPECIES
Tl 204.38 Tl.upf
P 30.97 P.upf
Br 79.90 Br.upf
CELL_PARAMETERS angstrom
3.755 0.000 0.000
0.000 3.755 0.000
0.000 0.000 7.741
ATOMIC_POSITIONS crystal
Tl 0.000 0.000 0.000
P 0.000 0.000 0.500
Br 0.500 0.500 0.274
Br 0.500 0.500 0.726
! Energy above the most stable polymorph in this dataset: 426 meV/atom
! DOS(E_F): 3.2 states/eV/f.u.

---

! TlPBr2 (PBE, optimized geometry); values from VASP
&SYSTEM
  ibrav = 0, nat = 4, ntyp = 3
/
ATOMIC_SPECIES
Tl 204.38 Tl.upf
P 30.97 P.upf
Br 79.90 Br.upf
CELL_PARAMETERS angstrom
5.096 0.000 0.000
0.000 5.159 0.000
0.000 0.000 6.240
ATOMIC_POSITIONS crystal
Tl 0.000 0.000 0.000
P 0.500 0.500 0.618
Br 0.000 0.000 0.488
Br 0.500 0.500 0.982
! Energy above the most stable polymorph in this dataset: 215 meV/atom

---

! TlPBr2 (PBE, optimized geometry); values from VASP
&SYSTEM
  ibrav = 0, nat = 4, ntyp = 3
/
ATOMIC_SPECIES
Tl 204.38 Tl.upf
P 30.97 P.upf
Br 79.90 Br.upf
CELL_PARAMETERS angstrom
1.763 1.018 10.187
-1.763 1.018 10.187
0.000 -2.035 10.187
ATOMIC_POSITIONS crystal
Tl 0.000 0.000 0.000
P 0.500 0.500 0.500
Br 0.102 0.102 0.102
Br 0.898 0.898 0.898
! Energy above the most stable polymorph in this dataset: 461 meV/atom
! DOS(E_F): 4.2 states/eV/f.u.

---

! TlPBr2 (PBE, optimized geometry); values from VASP
&SYSTEM
  ibrav = 0, nat = 4, ntyp = 3
/
ATOMIC_SPECIES
Tl 204.38 Tl.upf
P 30.97 P.upf
Br 79.90 Br.upf
CELL_PARAMETERS angstrom
4.195 -4.192 0.000
4.195 4.192 0.000
-0.033 0.000 3.525
ATOMIC_POSITIONS crystal
Tl 0.000 0.000 0.000
P 0.500 0.500 0.000
Br 0.000 0.500 0.000
Br 0.500 0.000 0.000
! Energy above the most stable polymorph in this dataset: 329 meV/atom
! DOS(E_F): 2.7 states/eV/f.u.

---

! TlPBr2 (PBE, optimized geometry); values from VASP
&SYSTEM
  ibrav = 0, nat = 4, ntyp = 3
/
ATOMIC_SPECIES
Tl 204.38 Tl.upf
P 30.97 P.upf
Br 79.90 Br.upf
CELL_PARAMETERS angstrom
0.000 3.849 3.849
3.849 0.000 3.849
3.849 3.849 0.000
ATOMIC_POSITIONS crystal
Tl 0.000 0.000 0.000
P 0.500 0.500 0.500
Br 0.250 0.250 0.250
Br 0.750 0.750 0.750
! Energy above the most stable polymorph in this dataset: 437 meV/atom
! DOS(E_F): 5.3 states/eV/f.u.

---

! TlPBr (PBE, optimized geometry); values from VASP
&SYSTEM
  ibrav = 0, nat = 3, ntyp = 3
/
ATOMIC_SPECIES
Tl 204.38 Tl.upf
P 30.97 P.upf
Br 79.90 Br.upf
CELL_PARAMETERS angstrom
4.364 0.000 0.000
-2.182 3.780 0.000
0.000 0.000 5.067
ATOMIC_POSITIONS crystal
Tl 0.000 0.000 0.000
P 0.333 0.667 0.851
Br 0.667 0.333 0.433
! Energy above the most stable polymorph in this dataset: 163 meV/atom
! DOS(E_F): 2.2 states/eV/f.u.

---

! TlP3Br (PBE, optimized geometry); values from VASP
&SYSTEM
  ibrav = 0, nat = 5, ntyp = 3
/
ATOMIC_SPECIES
Tl 204.38 Tl.upf
P 30.97 P.upf
Br 79.90 Br.upf
CELL_PARAMETERS angstrom
4.967 0.000 0.000
0.000 4.967 0.000
0.000 0.000 4.967
ATOMIC_POSITIONS crystal
Tl 0.000 0.000 0.000
P 0.000 0.500 0.500
P 0.500 0.000 0.500
P 0.500 0.500 0.000
Br 0.500 0.500 0.500
! Energy above the most stable polymorph in this dataset: 0 meV/atom
! DOS(E_F): 5.5 states/eV/f.u.

---

! TlPBr2 (PBE, optimized geometry); values from VASP
&SYSTEM
  ibrav = 0, nat = 4, ntyp = 3
/
ATOMIC_SPECIES
Tl 204.38 Tl.upf
P 30.97 P.upf
Br 79.90 Br.upf
CELL_PARAMETERS angstrom
5.989 0.000 0.000
0.000 3.733 0.000
-1.829 0.000 6.077
ATOMIC_POSITIONS crystal
Tl 0.000 0.000 0.000
P 0.000 0.000 0.500
Br 0.293 0.500 0.701
Br 0.707 0.500 0.299
! Energy above the most stable polymorph in this dataset: 35 meV/atom
! DOS(E_F): 0.7 states/eV/f.u.

---

! TlPBr2 (PBE, optimized geometry); values from VASP
&SYSTEM
  ibrav = 0, nat = 4, ntyp = 3
/
ATOMIC_SPECIES
Tl 204.38 Tl.upf
P 30.97 P.upf
Br 79.90 Br.upf
CELL_PARAMETERS angstrom
4.218 0.000 0.000
0.000 4.236 0.000
0.000 0.000 7.101
ATOMIC_POSITIONS crystal
Tl 0.000 0.000 0.000
P 0.500 0.000 0.500
Br 0.000 0.500 0.500
Br 0.500 0.500 0.000
! Energy above the most stable polymorph in this dataset: 329 meV/atom
! DOS(E_F): 1.7 states/eV/f.u.

---

! Tl2PBr (PBE, optimized geometry); values from VASP
&SYSTEM
  ibrav = 0, nat = 8, ntyp = 3
/
ATOMIC_SPECIES
Tl 204.38 Tl.upf
P 30.97 P.upf
Br 79.90 Br.upf
CELL_PARAMETERS angstrom
-3.807 3.807 4.754
3.807 -3.807 4.754
3.807 3.807 -4.754
ATOMIC_POSITIONS crystal
Tl 0.076 0.125 0.451
Tl 0.375 0.924 0.049
Tl 0.674 0.625 0.549
Tl 0.875 0.326 0.951
P 0.000 0.000 0.000
P 0.750 0.250 0.500
Br 0.250 0.750 0.500
Br 0.500 0.500 0.000
! Energy above the most stable polymorph in this dataset: 115 meV/atom
! DOS(E_F): 0.2 states/eV/f.u.

---

! Tl2PBr (PBE, optimized geometry); values from VASP
&SYSTEM
  ibrav = 0, nat = 4, ntyp = 3
/
ATOMIC_SPECIES
Tl 204.38 Tl.upf
P 30.97 P.upf
Br 79.90 Br.upf
CELL_PARAMETERS angstrom
0.000 3.777 3.777
3.777 0.000 3.777
3.777 3.777 0.000
ATOMIC_POSITIONS crystal
Tl 0.000 0.000 0.000
Tl 0.250 0.250 0.250
P 0.750 0.750 0.750
Br 0.500 0.500 0.500
! Energy above the most stable polymorph in this dataset: 388 meV/atom
! DOS(E_F): 2.8 states/eV/f.u.

---

! TlPBr3 (PBE, optimized geometry); values from VASP
&SYSTEM
  ibrav = 0, nat = 5, ntyp = 3
/
ATOMIC_SPECIES
Tl 204.38 Tl.upf
P 30.97 P.upf
Br 79.90 Br.upf
CELL_PARAMETERS angstrom
5.283 0.000 0.000
0.000 5.283 0.000
0.000 0.000 5.283
ATOMIC_POSITIONS crystal
Tl 0.000 0.000 0.000
P 0.500 0.500 0.500
Br 0.000 0.500 0.500
Br 0.500 0.000 0.500
Br 0.500 0.500 0.000
! Energy above the most stable polymorph in this dataset: 195 meV/atom
! DOS(E_F): 1.6 states/eV/f.u.

---

! TlPBr (PBE, optimized geometry); values from VASP
&SYSTEM
  ibrav = 0, nat = 3, ntyp = 3
/
ATOMIC_SPECIES
Tl 204.38 Tl.upf
P 30.97 P.upf
Br 79.90 Br.upf
CELL_PARAMETERS angstrom
0.000 3.461 3.461
3.461 0.000 3.461
3.461 3.461 0.000
ATOMIC_POSITIONS crystal
Tl 0.000 0.000 0.000
P 0.750 0.750 0.750
Br 0.500 0.500 0.500
! Energy above the most stable polymorph in this dataset: 287 meV/atom
! DOS(E_F): 2.2 states/eV/f.u.

---

! TlPBr (PBE, optimized geometry); values from VASP
&SYSTEM
  ibrav = 0, nat = 3, ntyp = 3
/
ATOMIC_SPECIES
Tl 204.38 Tl.upf
P 30.97 P.upf
Br 79.90 Br.upf
CELL_PARAMETERS angstrom
-2.068 2.068 5.723
2.068 -2.068 5.723
2.068 2.068 -5.723
ATOMIC_POSITIONS crystal
Tl 0.000 0.000 0.000
P 0.495 0.495 0.000
Br 0.293 0.293 0.000
! Energy above the most stable polymorph in this dataset: 0 meV/atom
! DOS(E_F): 1.1 states/eV/f.u.

---

! Tl2PBr (PBE, optimized geometry); values from VASP
&SYSTEM
  ibrav = 0, nat = 4, ntyp = 3
/
ATOMIC_SPECIES
Tl 204.38 Tl.upf
P 30.97 P.upf
Br 79.90 Br.upf
CELL_PARAMETERS angstrom
-2.183 2.183 6.248
2.183 -2.183 6.248
2.183 2.183 -6.248
ATOMIC_POSITIONS crystal
Tl 0.000 0.000 0.000
Tl 0.750 0.250 0.500
P 0.500 0.500 0.000
Br 0.250 0.750 0.500
! Energy above the most stable polymorph in this dataset: 241 meV/atom
! DOS(E_F): 2.1 states/eV/f.u.

---

! Tl2PBr (PBE, optimized geometry); values from VASP
&SYSTEM
  ibrav = 0, nat = 4, ntyp = 3
/
ATOMIC_SPECIES
Tl 204.38 Tl.upf
P 30.97 P.upf
Br 79.90 Br.upf
CELL_PARAMETERS angstrom
-1.909 1.950 8.043
1.909 -1.950 8.043
1.909 1.950 -8.043
ATOMIC_POSITIONS crystal
Tl 0.000 0.000 0.000
Tl 0.784 0.284 0.500
P 0.458 0.458 0.000
Br 0.178 0.678 0.500
! Energy above the most stable polymorph in this dataset: 68 meV/atom
! DOS(E_F): 2.0 states/eV/f.u.

---

! Tl2PBr (PBE, optimized geometry); values from VASP
&SYSTEM
  ibrav = 0, nat = 4, ntyp = 3
/
ATOMIC_SPECIES
Tl 204.38 Tl.upf
P 30.97 P.upf
Br 79.90 Br.upf
CELL_PARAMETERS angstrom
5.534 0.000 0.000
0.000 5.534 0.000
0.000 0.000 3.512
ATOMIC_POSITIONS crystal
Tl 0.000 0.500 0.000
Tl 0.500 0.000 0.000
P 0.000 0.000 0.500
Br 0.500 0.500 0.500
! Energy above the most stable polymorph in this dataset: 142 meV/atom
! DOS(E_F): 2.5 states/eV/f.u.

---

! TlPBr (PBE, optimized geometry); values from VASP
&SYSTEM
  ibrav = 0, nat = 3, ntyp = 3
/
ATOMIC_SPECIES
Tl 204.38 Tl.upf
P 30.97 P.upf
Br 79.90 Br.upf
CELL_PARAMETERS angstrom
0.000 3.521 3.521
3.521 0.000 3.521
3.521 3.521 0.000
ATOMIC_POSITIONS crystal
Tl 0.000 0.000 0.000
P 0.750 0.750 0.750
Br 0.250 0.250 0.250
! Energy above the most stable polymorph in this dataset: 457 meV/atom
! DOS(E_F): 4.1 states/eV/f.u.

---

! TlPBr4 (PBE, optimized geometry); values from VASP
&SYSTEM
  ibrav = 0, nat = 24, ntyp = 3
/
ATOMIC_SPECIES
Tl 204.38 Tl.upf
P 30.97 P.upf
Br 79.90 Br.upf
CELL_PARAMETERS angstrom
9.583 0.000 0.000
0.000 9.270 0.000
-3.818 0.000 10.966
ATOMIC_POSITIONS crystal
Tl 0.119 0.133 0.406
Tl 0.119 0.367 0.906
Tl 0.881 0.633 0.094
Tl 0.881 0.867 0.594
P 0.401 0.609 0.630
P 0.401 0.891 0.130
P 0.599 0.109 0.870
P 0.599 0.391 0.370
Br 0.075 0.142 0.667
Br 0.075 0.358 0.167
Br 0.215 0.643 0.707
Br 0.215 0.857 0.207
Br 0.275 0.523 0.443
Br 0.275 0.977 0.943
Br 0.448 0.660 0.088
Br 0.448 0.840 0.588
Br 0.552 0.160 0.412
Br 0.552 0.340 0.912
Br 0.725 0.023 0.057
Br 0.725 0.477 0.557
Br 0.785 0.143 0.793
Br 0.785 0.357 0.293
Br 0.925 0.642 0.833
Br 0.925 0.858 0.333
! Energy above the most stable polymorph in this dataset: 0 meV/atom
! DOS(E_F): 0.0 states/eV/f.u.

---

! TlPBr2 (PBE, optimized geometry); values from VASP
&SYSTEM
  ibrav = 0, nat = 4, ntyp = 3
/
ATOMIC_SPECIES
Tl 204.38 Tl.upf
P 30.97 P.upf
Br 79.90 Br.upf
CELL_PARAMETERS angstrom
1.827 1.055 9.144
-1.827 1.055 9.144
0.000 -2.110 9.144
ATOMIC_POSITIONS crystal
Tl 0.000 0.000 0.000
P 0.500 0.500 0.500
Br 0.241 0.241 0.241
Br 0.759 0.759 0.759
! Energy above the most stable polymorph in this dataset: 389 meV/atom
! DOS(E_F): 3.2 states/eV/f.u.

---

! TlPBr (PBE, optimized geometry); values from VASP
&SYSTEM
  ibrav = 0, nat = 3, ntyp = 3
/
ATOMIC_SPECIES
Tl 204.38 Tl.upf
P 30.97 P.upf
Br 79.90 Br.upf
CELL_PARAMETERS angstrom
0.000 3.152 5.777
2.221 0.000 5.777
2.221 3.152 0.000
ATOMIC_POSITIONS crystal
Tl 0.000 0.000 0.000
P 0.622 0.622 0.378
Br 0.305 0.305 0.695
! Energy above the most stable polymorph in this dataset: 303 meV/atom
! DOS(E_F): 1.9 states/eV/f.u.

---

! Tl2PBr (PBE, optimized geometry); values from VASP
&SYSTEM
  ibrav = 0, nat = 4, ntyp = 3
/
ATOMIC_SPECIES
Tl 204.38 Tl.upf
P 30.97 P.upf
Br 79.90 Br.upf
CELL_PARAMETERS angstrom
4.374 0.000 0.000
0.000 4.374 0.000
0.000 0.000 6.067
ATOMIC_POSITIONS crystal
Tl 0.000 0.000 0.000
Tl 0.500 0.500 0.500
P 0.000 0.000 0.500
Br 0.500 0.500 0.000
! Energy above the most stable polymorph in this dataset: 45 meV/atom
! DOS(E_F): 1.0 states/eV/f.u.

---

! TlPBr3 (PBE, optimized geometry); values from VASP
&SYSTEM
  ibrav = 0, nat = 5, ntyp = 3
/
ATOMIC_SPECIES
Tl 204.38 Tl.upf
P 30.97 P.upf
Br 79.90 Br.upf
CELL_PARAMETERS angstrom
5.658 0.000 0.000
0.000 5.658 0.000
0.000 0.000 5.658
ATOMIC_POSITIONS crystal
Tl 0.000 0.000 0.000
P 0.500 0.500 0.500
Br 0.000 0.000 0.500
Br 0.000 0.500 0.000
Br 0.500 0.000 0.000
! Energy above the most stable polymorph in this dataset: 898 meV/atom
! DOS(E_F): 7.6 states/eV/f.u.

---

! TlPBr2 (PBE, optimized geometry); values from VASP
&SYSTEM
  ibrav = 0, nat = 4, ntyp = 3
/
ATOMIC_SPECIES
Tl 204.38 Tl.upf
P 30.97 P.upf
Br 79.90 Br.upf
CELL_PARAMETERS angstrom
8.238 -1.869 0.000
8.238 1.869 0.000
-0.979 0.000 3.923
ATOMIC_POSITIONS crystal
Tl 0.000 0.000 0.000
P 0.348 0.348 0.850
Br 0.594 0.594 0.592
Br 0.823 0.823 0.326
! Energy above the most stable polymorph in this dataset: 164 meV/atom
! DOS(E_F): 1.7 states/eV/f.u.

---

! TlPBr2 (PBE, optimized geometry); values from VASP
&SYSTEM
  ibrav = 0, nat = 4, ntyp = 3
/
ATOMIC_SPECIES
Tl 204.38 Tl.upf
P 30.97 P.upf
Br 79.90 Br.upf
CELL_PARAMETERS angstrom
0.000 3.763 3.763
3.763 0.000 3.763
3.763 3.763 0.000
ATOMIC_POSITIONS crystal
Tl 0.000 0.000 0.000
P 0.750 0.750 0.750
Br 0.250 0.250 0.250
Br 0.500 0.500 0.500
! Energy above the most stable polymorph in this dataset: 570 meV/atom
! DOS(E_F): 3.5 states/eV/f.u.

---

! Tl2PBr (PBE, optimized geometry); values from VASP
&SYSTEM
  ibrav = 0, nat = 4, ntyp = 3
/
ATOMIC_SPECIES
Tl 204.38 Tl.upf
P 30.97 P.upf
Br 79.90 Br.upf
CELL_PARAMETERS angstrom
3.722 -2.184 0.000
3.722 2.184 0.000
-1.733 0.000 7.229
ATOMIC_POSITIONS crystal
Tl 0.213 0.213 0.193
Tl 0.787 0.787 0.807
P 0.500 0.500 0.000
Br 0.000 0.000 0.500
! Energy above the most stable polymorph in this dataset: 0 meV/atom
! DOS(E_F): 1.3 states/eV/f.u.

---

! TlP4Br (PBE, optimized geometry); values from VASP
&SYSTEM
  ibrav = 0, nat = 6, ntyp = 3
/
ATOMIC_SPECIES
Tl 204.38 Tl.upf
P 30.97 P.upf
Br 79.90 Br.upf
CELL_PARAMETERS angstrom
0.000 4.396 4.396
4.396 0.000 4.396
4.396 4.396 0.000
ATOMIC_POSITIONS crystal
Tl 0.000 0.000 0.000
P 0.412 0.412 0.412
P 0.412 0.412 0.765
P 0.412 0.765 0.412
P 0.765 0.412 0.412
Br 0.750 0.750 0.750
! DOS(E_F): 0.0 states/eV/f.u.

---

| no. | size of the total moment (μB/cell) | formation energy from raw total energies (meV per atom) |
| --- | --- | --- |
| 1 | 0.00 | 93 |
| 2 | 1.43 | 236 |
| 3 | 1.72 | 332 |
| 4 | 2.00 | 121 |
| 5 | 0.00 | 367 |
| 6 | 0.00 | 235 |
| 7 | 2.00 | 343 |
| 8 | 0.00 | 262 |
| 9 | 0.00 | 1287 |
| 10 | 0.00 | -59 |
| 11 | 1.01 | 236 |
| 12 | 0.00 | 5 |
| 13 | 0.00 | 279 |
| 14 | 0.00 | -303 |
| 15 | 0.00 | 386 |
| 16 | 0.00 | 99 |
| 17 | 0.89 | 132 |
| 18 | 0.00 | -41 |
| 19 | 0.00 | 32 |
| 20 | 0.02 | 556 |
| 21 | 0.00 | -480 |
| 22 | 0.00 | 296 |
| 23 | 0.23 | 402 |
| 24 | 0.00 | -65 |
| 25 | 2.56 | 400 |
| 26 | 0.00 | 70 |
| 27 | 1.97 | 476 |
| 28 | 0.00 | -110 |
| 29 | 0.00 | -86 |